# GGA+U Tl2AgWF6, relaxed
data_Tl2AgWF6
_space_group_name_H-M_alt 'P m m n'
_space_group_IT_number 59
_cell_length_a 6.789
_cell_length_b 8.143
_cell_length_c 7.185
_cell_angle_alpha 90.00
_cell_angle_beta 90.00
_cell_angle_gamma 90.00
loop_
_space_group_symop_operation_xyz
'x,y,z'
'-x,-y,-z'
'-x+1/2,-y+1/2,z'
'x+1/2,y+1/2,-z'
'x+1/2,-y,-z'
'-x+1/2,y,z'
'-x,y+1/2,-z'
'x,-y+1/2,z'
loop_
_atom_site_label
_atom_site_type_symbol
_atom_site_fract_x
_atom_site_fract_y
_atom_site_fract_z
Tl1 Tl 0.250 0.001 0.121
Ag1 Ag 0.250 0.250 0.807
W1 W 0.250 0.750 0.593
F1 F 0.046 0.750 0.804
F2 F 0.056 0.750 0.379
F3 F 0.250 0.506 0.598
# density of states at the Fermi level = 0.20 states/eV per atom
# spin magnetization = 4.041 Bohr magnetons per cell
# final energy = -4.52 eV per atom
# calculated density = 6.81 g/cm3